1.
Zr3AlCr: single point on PBEsol structure, meta-GGA SCAN.

a = 4.9531 Å, b = 4.9531 Å, c = 4.9531 Å
α = 90.00°, β = 90.00°, γ = 90.00°
Last column: nearest neighbours and their distance in Å.
Atoms (fractional coordinates):
Cr (0.5000, 0.5000, 0.5000)  12 Zr 3.50
Al (0.0000, 0.0000, 0.0000)  6 Zr 2.48
Zr (0.0000, 0.5000, 0.0000)  2 Al 2.48
Zr (0.0000, 0.0000, 0.5000)  2 Al 2.48
Zr (0.5000, 0.0000, 0.0000)  2 Al 2.48

Output
**Space group**: No. 221
**Energy of formation from the pure elements**: 788 meV per atom
**Calculated volume**: 24.30 A^3/atom

2.
ZrOsBr2: single point on PBEsol structure, meta-GGA SCAN.

a = 3.2977 Å, b = 4.2472 Å, c = 7.1622 Å
α = 92.10°, β = 103.31°, γ = 90.00°
Last column: nearest neighbours and their distance in Å.
Atoms (fractional coordinates):
Os (0.0000, 0.5000, 0.0000)  2 Br 2.49, 4 Zr 2.69
Br (0.1538, 0.2208, 0.3076)  1 Os 2.49
Br (0.8462, 0.7792, 0.6924)  1 Os 2.49
Zr (0.5000, 0.0000, 0.0000)  4 Os 2.69, 4 Br 2.84

Output
**Space group**: No. 12
**Calculated volume**: 24.39 A^3/atom
**Energy relative to the elements, uncorrected**: -34.8 kJ per mole of atoms
**Excess energy over the best structure of this formula in the dataset**: 0 meV per atom

3.
MgCd2: single point on PBEsol structure, meta-GGA SCAN.

a = 3.1098 Å, b = 3.1098 Å, c = 13.5700 Å
α = 96.58°, β = 96.58°, γ = 90.00°
Last column: nearest neighbours and their distance in Å.
Atoms (fractional coordinates):
Mg (0.0000, 0.0000, 0.0000)  8 Cd 3.04, 4 Mg 3.11
Mg (0.2500, 0.7500, 0.5000)  8 Cd 3.04, 4 Mg 3.11
Cd (0.6715, 0.1715, 0.3430)  6 Cd 2.94-3.11, 4 Mg 3.04
Cd (0.8285, 0.3285, 0.6570)  6 Cd 2.94-3.11, 4 Mg 3.04
Cd (0.4215, 0.4215, 0.8430)  6 Cd 2.94-3.11, 4 Mg 3.04
Cd (0.5785, 0.5785, 0.1570)  6 Cd 2.94-3.11, 4 Mg 3.04

Output
**Space group**: No. 141
**Energy of formation from the pure elements**: -83 meV per atom
**Calculated volume**: 21.58 A^3/atom

4.
TaBrN2O: single point on PBEsol structure, meta-GGA SCAN.

a = 3.8422 Å, b = 4.1757 Å, c = 4.1757 Å
α = 90.00°, β = 90.00°, γ = 90.00°
Last column: nearest neighbours and their distance in Å.
Atoms (fractional coordinates):
N (0.0000, 0.0000, 0.5000)  2 Ta 2.09
N (0.0000, 0.5000, 0.0000)  2 Ta 2.09
O (0.5000, 0.0000, 0.0000)  2 Ta 1.92
Br (0.5000, 0.5000, 0.5000)  8 N 2.84, 4 O 2.95
Ta (0.0000, 0.0000, 0.0000)  2 O 1.92, 4 N 2.09

Output
**Space group**: No. 123
**Calculated volume**: 13.40 A^3/atom
**Energy relative to the elements, uncorrected**: 5.3 kJ per mole of atoms

5.
Li3GeH: single point on PBEsol structure, meta-GGA SCAN.

a = 3.9016 Å, b = 3.9016 Å, c = 3.9016 Å
α = 90.00°, β = 90.00°, γ = 90.00°
Last column: nearest neighbours and their distance in Å.
Atoms (fractional coordinates):
H (0.0000, 0.0000, 0.0000)  6 Li 1.95
Ge (0.5000, 0.5000, 0.5000)  12 Li 2.76
Li (0.0000, 0.5000, 0.0000)  2 H 1.95
Li (0.0000, 0.0000, 0.5000)  2 H 1.95
Li (0.5000, 0.0000, 0.0000)  2 H 1.95

Output
**Space group**: No. 221
**Calculated volume**: 11.88 A^3/atom
**Excess energy over the best structure of this formula in the dataset**: 0 meV per atom

6.
Ag3AsPt: single point on PBEsol structure, meta-GGA SCAN.

a = 4.6808 Å, b = 4.6808 Å, c = 4.6808 Å
α = 90.00°, β = 90.00°, γ = 90.00°
Last column: nearest neighbours and their distance in Å.
Atoms (fractional coordinates):
As (0.0000, 0.0000, 0.0000)  6 Ag 2.34
Ag (0.0000, 0.5000, 0.0000)  2 As 2.34
Ag (0.0000, 0.0000, 0.5000)  2 As 2.34
Ag (0.5000, 0.0000, 0.0000)  2 As 2.34
Pt (0.5000, 0.5000, 0.5000)  12 Ag 3.31

Output
**Space group**: No. 221
**Energy of formation from the pure elements**: 745 meV per atom
**Calculated volume**: 20.51 A^3/atom

7.
AlSi2PdW: single point on PBEsol structure, meta-GGA SCAN.

a = 4.6223 Å, b = 4.6223 Å, c = 4.7759 Å
α = 90.00°, β = 90.00°, γ = 90.00°
Last column: nearest neighbours and their distance in Å.
Atoms (fractional coordinates):
Si (0.0000, 0.5000, 0.0000)  2 W 2.31
Si (0.5000, 0.0000, 0.0000)  2 W 2.31
Pd (0.5000, 0.5000, 0.5000)  4 Al 3.27, 8 Si 3.32
W (0.0000, 0.0000, 0.0000)  4 Si 2.31, 2 Al 2.39
Al (0.0000, 0.0000, 0.5000)  2 W 2.39

Output
**Space group**: No. 123
**Calculated volume**: 20.41 A^3/atom
**Energy relative to the elements, uncorrected**: 75.9 kJ per mole of atoms

8.
Mg2Sc3VS8: single point on PBEsol structure, meta-GGA SCAN.

a = 7.3617 Å, b = 7.3617 Å, c = 7.3617 Å
α = 60.70°, β = 60.70°, γ = 60.70°
Last column: nearest neighbours and their distance in Å.
Atoms (fractional coordinates):
Mg (0.1241, 0.1241, 0.1241)  4 S 2.40-2.44
Mg (0.8759, 0.8759, 0.8759)  4 S 2.40-2.44
Sc (0.0000, 0.5000, 0.5000)  6 S 2.54-2.56
Sc (0.5000, 0.0000, 0.5000)  6 S 2.54-2.56
Sc (0.5000, 0.5000, 0.0000)  6 S 2.54-2.56
V (0.5000, 0.5000, 0.5000)  6 S 2.45
S (0.7227, 0.2663, 0.2663)  1 Mg 2.44, 1 V 2.45, 2 Sc 2.56
S (0.7337, 0.2773, 0.7337)  1 Mg 2.44, 1 V 2.45, 2 Sc 2.56
S (0.7420, 0.7420, 0.7420)  1 Mg 2.40, 3 Sc 2.54
S (0.7337, 0.7337, 0.2773)  1 Mg 2.44, 1 V 2.45, 2 Sc 2.56
S (0.2580, 0.2580, 0.2580)  1 Mg 2.40, 3 Sc 2.54
S (0.2663, 0.2663, 0.7227)  1 Mg 2.44, 1 V 2.45, 2 Sc 2.56
S (0.2773, 0.7337, 0.7337)  1 Mg 2.44, 1 V 2.45, 2 Sc 2.56
S (0.2663, 0.7227, 0.2663)  1 Mg 2.44, 1 V 2.45, 2 Sc 2.56

Output
**Space group**: No. 166
**Calculated volume**: 20.47 A^3/atom
**Energy relative to the elements, uncorrected**: -177.8 kJ per mole of atoms

9.
KLa2Pb2: single point on PBEsol structure, meta-GGA SCAN.

a = 3.5551 Å, b = 9.7904 Å, c = 9.7904 Å
α = 90.00°, β = 90.00°, γ = 90.00°
Last column: nearest neighbours and their distance in Å.
Atoms (fractional coordinates):
Pb (0.0000, 0.3356, 0.8356)  6 La 3.34-3.42, 2 Pb 3.56, 2 K 3.66
Pb (0.0000, 0.8356, 0.6644)  6 La 3.34-3.42, 2 Pb 3.56, 2 K 3.66
Pb (0.0000, 0.6644, 0.1644)  6 La 3.34-3.42, 2 Pb 3.56, 2 K 3.66
Pb (0.0000, 0.1644, 0.3356)  6 La 3.34-3.42, 2 Pb 3.56, 2 K 3.66
K (0.0000, 0.0000, 0.0000)  2 K 3.56, 4 Pb 3.66
K (0.0000, 0.5000, 0.5000)  2 K 3.56, 4 Pb 3.66
La (0.5000, 0.1317, 0.6317)  6 Pb 3.34-3.42, 3 La 3.56-3.65
La (0.5000, 0.6317, 0.8683)  6 Pb 3.34-3.42, 3 La 3.56-3.65
La (0.5000, 0.8683, 0.3683)  6 Pb 3.34-3.42, 3 La 3.56-3.65
La (0.5000, 0.3683, 0.1317)  6 Pb 3.34-3.42, 3 La 3.56-3.65

Output
**Space group**: No. 127
**Energy of formation from the pure elements**: -652 meV per atom
**Calculated volume**: 34.08 A^3/atom

10.
Zr3P3Pd4: single point on PBEsol structure, meta-GGA SCAN.

a = 3.8118 Å, b = 9.9164 Å, c = 16.2717 Å
α = 90.00°, β = 90.00°, γ = 90.00°
Last column: nearest neighbours and their distance in Å.
Atoms (fractional coordinates):
Zr (0.2500, 0.0246, 0.2602)  4 P 2.70-2.79, 6 Pd 2.89-3.01
Zr (0.7500, 0.9754, 0.7398)  4 P 2.70-2.79, 6 Pd 2.89-3.01
Zr (0.7500, 0.5246, 0.2398)  4 P 2.70-2.79, 6 Pd 2.89-3.01
Zr (0.2500, 0.4754, 0.7602)  4 P 2.70-2.79, 6 Pd 2.89-3.01
Zr (0.2500, 0.8840, 0.4518)  5 P 2.67-2.77, 5 Pd 2.91-2.95
Zr (0.7500, 0.1160, 0.5482)  5 P 2.67-2.77, 5 Pd 2.91-2.95
Zr (0.7500, 0.3840, 0.0482)  5 P 2.67-2.77, 5 Pd 2.91-2.95
Zr (0.2500, 0.6160, 0.9518)  5 P 2.67-2.77, 5 Pd 2.91-2.95
Zr (0.2500, 0.5892, 0.5603)  5 P 2.69-2.73, 5 Pd 2.94-3.01
Zr (0.7500, 0.4108, 0.4397)  5 P 2.69-2.73, 5 Pd 2.94-3.01
Zr (0.7500, 0.0892, 0.9397)  5 P 2.69-2.73, 5 Pd 2.94-3.01
Zr (0.2500, 0.9108, 0.0603)  5 P 2.69-2.73, 5 Pd 2.94-3.01
P (0.2500, 0.1814, 0.0456)  4 Pd 2.42-2.49, 1 Zr 2.69
P (0.7500, 0.8186, 0.9544)  4 Pd 2.42-2.49, 1 Zr 2.69
P (0.7500, 0.6814, 0.4544)  4 Pd 2.42-2.49, 1 Zr 2.69
P (0.2500, 0.3186, 0.5456)  4 Pd 2.42-2.49, 1 Zr 2.69
P (0.2500, 0.5379, 0.1148)  4 Pd 2.45-2.47, 2 Zr 2.67
P (0.7500, 0.4621, 0.8852)  4 Pd 2.45-2.47, 2 Zr 2.67
P (0.7500, 0.0379, 0.3852)  4 Pd 2.45-2.47, 2 Zr 2.67
P (0.2500, 0.9621, 0.6148)  4 Pd 2.45-2.47, 2 Zr 2.67
P (0.2500, 0.3880, 0.3226)  5 Pd 2.41-2.56, 2 Zr 2.70
P (0.7500, 0.6120, 0.6774)  5 Pd 2.41-2.56, 2 Zr 2.70
P (0.7500, 0.8880, 0.1774)  5 Pd 2.41-2.56, 2 Zr 2.70
P (0.2500, 0.1120, 0.8226)  5 Pd 2.41-2.56, 2 Zr 2.70
Pd (0.2500, 0.3113, 0.1763)  3 P 2.46-2.50
Pd (0.7500, 0.6887, 0.8237)  3 P 2.46-2.50
Pd (0.7500, 0.8113, 0.3237)  3 P 2.46-2.50
Pd (0.2500, 0.1887, 0.6763)  3 P 2.46-2.50
Pd (0.2500, 0.7367, 0.2067)  3 P 2.47
Pd (0.7500, 0.2633, 0.7933)  3 P 2.47
Pd (0.7500, 0.2367, 0.2933)  3 P 2.47
Pd (0.2500, 0.7633, 0.7067)  3 P 2.47
Pd (0.2500, 0.6174, 0.3716)  3 P 2.41-2.42
Pd (0.7500, 0.3826, 0.6284)  3 P 2.41-2.42
Pd (0.7500, 0.1174, 0.1284)  3 P 2.41-2.42
Pd (0.2500, 0.8826, 0.8716)  3 P 2.41-2.42
Pd (0.2500, 0.1831, 0.4181)  4 P 2.45-2.56
Pd (0.7500, 0.8169, 0.5819)  4 P 2.45-2.56
Pd (0.7500, 0.6831, 0.0819)  4 P 2.45-2.56
Pd (0.2500, 0.3169, 0.9181)  4 P 2.45-2.56

Output
**Space group**: No. 62
**Energy of formation from the pure elements**: -1141 meV per atom
**Calculated volume**: 15.38 A^3/atom

Number 1: total DFT energy (no corrections) -22.858 eV per atom. Number 2: total DFT energy (no corrections) -35.736 eV per atom. Number 3: total DFT energy (no corrections) -22.017 eV per atom. Number 4: total DFT energy (no corrections) -22.116 eV per atom. Number 5: total DFT energy (no corrections) -6.221 eV per atom. Number 6: total DFT energy (no corrections) -36.152 eV per atom. Number 7: total DFT energy (no corrections) -25.262 eV per atom. Number 8: total DFT energy (no corrections) -12.355 eV per atom. Number 9: total DFT energy (no corrections) -49.872 eV per atom. Number 10: total DFT energy (no corrections) -26.580 eV per atom.